This record from the Alexandria database describes a relaxed structure of Ba6Na2IrF. The functional is PBE-GGA.

Properties
Crystal system   orthorhombic
Size of the total moment   0.00 μB/cell
Uncorrected energy   -3.120 eV/atom

Cell: 9.0587 10.4607 10.4461 Å, 90.00 90.00 90.00°
Closest atoms and distances in Å follow each position.
Sites, in units of the cell vectors:
Ba 0.0067 0.2500 0.0384  1 F 2.70
Ba 0.0114 0.2500 0.4535  1 Ir 3.00
Ba 0.2500 0.5412 0.2490  1 F 2.73, 1 Ir 3.05
Ba 0.2500 0.9588 0.2490  1 F 2.73, 1 Ir 3.05
Ba 0.4886 0.2500 0.4535  1 Ir 3.00
Ba 0.4933 0.2500 0.0384  1 F 2.70
Ba 0.5067 0.7500 0.9616  1 F 2.70
Ba 0.5114 0.7500 0.5465  1 Ir 3.00
Ba 0.7500 0.0412 0.7510  1 F 2.73, 1 Ir 3.05
Ba 0.7500 0.4588 0.7510  1 F 2.73, 1 Ir 3.05
Ba 0.9886 0.7500 0.5465  1 Ir 3.00
Ba 0.9933 0.7500 0.9616  1 F 2.70
Na 0.2500 0.0404 0.7437  10 Ba 4.32-4.53, 1 Na 4.39, 1 F 4.74
Na 0.2500 0.4596 0.7437  10 Ba 4.32-4.53, 1 Na 4.39, 1 F 4.74
Na 0.7500 0.5404 0.2563  10 Ba 4.32-4.53, 1 Na 4.39, 1 F 4.74
Na 0.7500 0.9596 0.2563  10 Ba 4.32-4.53, 1 Na 4.39, 1 F 4.74
Ir 0.2500 0.2500 0.2537  6 Ba 3.00-3.15
Ir 0.7500 0.7500 0.7463  6 Ba 3.00-3.15
F 0.2500 0.7500 0.0924  4 Ba 2.70-2.73
F 0.7500 0.2500 0.9076  4 Ba 2.70-2.73

This record from the Alexandria database describes a relaxed structure of Zr2Ga3Pd. The functional is PBE-GGA.

Properties
Crystal system   orthorhombic
Size of the total moment   0.00 μB/cell
Uncorrected energy   -5.849 eV/atom

Cell: 8.7808 8.2585 5.4266 Å, 76.75 66.27 36.98°
Closest atoms and distances in Å follow each position.
Sites, in units of the cell vectors:
Zr 0.2487 0.7513 0.7513  10 Ga 2.98-3.02, 2 Pd 3.00, 2 Zr 3.19-3.22
Zr 0.2500 0.2500 0.2500  8 Ga 2.99-3.00, 4 Pd 2.99, 2 Zr 3.21
Zr 0.7500 0.7500 0.7500  8 Ga 2.99-3.00, 4 Pd 2.99, 2 Zr 3.21
Zr 0.7513 0.2487 0.2487  10 Ga 2.98-3.02, 2 Pd 3.00, 2 Zr 3.19-3.22
Ga 0.1638 0.6689 0.3311  1 Pd 2.51, 2 Ga 2.55
Ga 0.3311 0.8362 0.1638  1 Pd 2.51, 2 Ga 2.55
Ga 0.3325 0.3325 0.6675  1 Pd 2.52, 2 Ga 2.55
Ga 0.6675 0.6675 0.3325  1 Pd 2.52, 2 Ga 2.55
Ga 0.6689 0.1638 0.8362  1 Pd 2.51, 2 Ga 2.55
Ga 0.8362 0.3311 0.6689  1 Pd 2.51, 2 Ga 2.55
Pd 0.1671 0.1671 0.8329  3 Ga 2.51-2.52
Pd 0.8329 0.8329 0.1671  3 Ga 2.51-2.52

This record from the Alexandria database describes a relaxed structure of LiTb3Ag2Te6. The functional is PBE-GGA.

Properties
Crystal system   monoclinic
Size of the total moment   0.00 μB/cell
Uncorrected energy   -4.361 eV/atom

Cell: 10.0746 10.0746 8.5240 Å, 102.55 102.55 25.17°
Closest atoms and distances in Å follow each position.
Sites, in units of the cell vectors:
Li 0.0000 0.0000 0.0000  6 Te 3.04-3.12
Tb 0.0000 0.0000 0.5000  6 Te 3.09-3.10
Tb 0.3275 0.3275 0.1918  6 Te 3.11-3.18
Tb 0.6725 0.6725 0.8082  6 Te 3.11-3.18
Ag 0.2972 0.2972 0.7243  3 Te 2.78-2.83
Ag 0.7028 0.7028 0.2757  3 Te 2.78-2.83
Te 0.1606 0.1606 0.5432  1 Ag 2.78, 1 Tb 3.10
Te 0.1625 0.1625 0.0661  2 Ag 2.83, 1 Li 3.12, 2 Tb 3.14
Te 0.4888 0.4888 0.2400  2 Li 3.04, 3 Tb 3.09-3.11
Te 0.5112 0.5112 0.7600  2 Li 3.04, 3 Tb 3.09-3.11
Te 0.8375 0.8375 0.9339  2 Ag 2.83, 1 Li 3.12, 2 Tb 3.14
Te 0.8394 0.8394 0.4568  1 Ag 2.78, 1 Tb 3.10

This record from the Alexandria database describes a relaxed structure of GdNiN. The functional is PBE-GGA.

Properties
Crystal system   trigonal
Size of the total moment   7.06 μB/cell
Uncorrected energy   -9.899 eV/atom

Cell: 3.6061 3.6061 3.5617 Å, 90.00 90.00 120.00°
Closest atoms and distances in Å follow each position.
Sites, in units of the cell vectors:
Gd 0.0000 0.0000 0.0000  6 N 2.73-2.75, 6 Ni 2.74
Ni 0.6667 0.3333 0.4996  3 N 2.08
N 0.3333 0.6667 0.4970  3 Ni 2.08

This record from the Alexandria database describes a relaxed structure of CuAg2Cl. The functional is PBE-GGA.

Properties
Crystal system   tetragonal
Size of the total moment   0.00 μB/cell
Offset from the most stable computed form   99 meV/atom

Cell: 3.3310 3.3310 6.4598 Å, 90.00 90.00 90.00°
Closest atoms and distances in Å follow each position.
Sites, in units of the cell vectors:
Cu 0.0000 0.0000 0.0000  5 Ag 2.69-2.89, 4 Cl 2.84
Ag 0.0000 0.0000 0.4472  4 Ag 2.84, 1 Cu 2.89, 4 Cl 3.08
Ag 0.5000 0.5000 0.2016  4 Cu 2.69, 4 Ag 2.84, 1 Cl 2.88
Cl 0.5000 0.5000 0.7552  4 Cu 2.84, 5 Ag 2.88-3.08

This record from the Alexandria database describes a relaxed structure of La4Ga2Ge. The functional is PBE-GGA.

Properties
Crystal system   trigonal
Size of the total moment   0.00 μB/cell
Uncorrected energy   -4.813 eV/atom

Cell: 9.0818 9.0818 9.0818 Å, 33.95 33.95 33.95°
Closest atoms and distances in Å follow each position.
Sites, in units of the cell vectors:
La 0.1235 0.1235 0.1235  4 Ga 3.11-3.19, 1 Ge 3.17
La 0.3765 0.3765 0.3765  3 Ge 3.26, 4 Ga 3.27-3.38
La 0.6235 0.6235 0.6235  3 Ge 3.26, 4 Ga 3.27-3.38
La 0.8765 0.8765 0.8765  4 Ga 3.11-3.19, 1 Ge 3.17
Ga 0.2449 0.2449 0.2449  8 La 3.11-3.38
Ga 0.7551 0.7551 0.7551  8 La 3.11-3.38
Ge 0.0000 0.0000 0.0000  8 La 3.17-3.26

This record from the Alexandria database describes a relaxed structure of Li2MgTaTe. The functional is PBE-GGA.

Properties
Crystal system   tetragonal
Size of the total moment   4.71 μB/cell
Uncorrected energy   -2.923 eV/atom

Cell: 5.1302 5.1302 5.4566 Å, 90.00 90.00 90.00°
Closest atoms and distances in Å follow each position.
Sites, in units of the cell vectors:
Li 0.0000 0.5000 0.0000  2 Ta 2.57
Li 0.5000 0.0000 0.0000  2 Ta 2.57
Mg 0.0000 0.0000 0.5000  2 Ta 2.73
Ta 0.0000 0.0000 0.0000  4 Li 2.57, 2 Mg 2.73
Te 0.5000 0.5000 0.5000  4 Mg 3.63, 8 Li 3.74

This record from the Alexandria database describes a relaxed structure of Ce6Ga6Ge. The functional is PBE-GGA.

Properties
Crystal system   hexagonal
Size of the total moment   4.36 μB/cell
Uncorrected energy   -4.870 eV/atom

Cell: 5.9636 5.9636 10.3314 Å, 90.00 90.00 120.00°
Closest atoms and distances in Å follow each position.
Sites, in units of the cell vectors:
Ce 0.0000 0.0000 0.2134  1 Ge 2.96, 6 Ga 3.00
Ce 0.0000 0.0000 0.7866  1 Ge 2.96, 6 Ga 3.00
Ce 0.3333 0.6667 0.0000  6 Ga 3.08, 3 Ce 3.44
Ce 0.3333 0.6667 0.5000  6 Ga 3.12, 3 Ge 3.44, 3 Ce 3.44
Ce 0.6667 0.3333 0.0000  6 Ga 3.08, 3 Ce 3.44
Ce 0.6667 0.3333 0.5000  6 Ga 3.12, 3 Ge 3.44, 3 Ce 3.44
Ga 0.0000 0.5000 0.2476  4 Ga 2.98, 6 Ce 3.00-3.12
Ga 0.0000 0.5000 0.7524  4 Ga 2.98, 6 Ce 3.00-3.12
Ga 0.5000 0.0000 0.2476  4 Ga 2.98, 6 Ce 3.00-3.12
Ga 0.5000 0.0000 0.7524  4 Ga 2.98, 6 Ce 3.00-3.12
Ga 0.5000 0.5000 0.2476  4 Ga 2.98, 6 Ce 3.00-3.12
Ga 0.5000 0.5000 0.7524  4 Ga 2.98, 6 Ce 3.00-3.12
Ge 0.0000 0.0000 0.5000  2 Ce 2.96

This record from the Alexandria database describes a relaxed structure of Pm6TeAs3Se2. The functional is PBE-GGA.

Properties
Crystal system   monoclinic
Size of the total moment   0.00 μB/cell
Uncorrected energy   -6.045 eV/atom

Cell: 9.5761 9.5761 8.5796 Å, 103.67 103.67 25.65°
Closest atoms and distances in Å follow each position.
Sites, in units of the cell vectors:
Pm 0.0018 0.0018 0.2316  3 As 2.90-2.96, 1 Se 3.07, 2 Te 3.14
Pm 0.3260 0.3260 0.4210  3 As 2.92-2.98, 2 Se 3.07, 1 Te 3.15
Pm 0.3355 0.3355 0.9105  3 As 2.97-2.98, 3 Se 3.05-3.07
Pm 0.6645 0.6645 0.0895  3 As 2.97-2.98, 3 Se 3.05-3.07
Pm 0.6740 0.6740 0.5790  3 As 2.92-2.98, 2 Se 3.07, 1 Te 3.15
Pm 0.9982 0.9982 0.7684  3 As 2.90-2.96, 1 Se 3.07, 2 Te 3.14
Te 0.5000 0.5000 0.5000  6 Pm 3.14-3.15
As 0.1651 0.1651 0.3319  6 Pm 2.92-2.98
As 0.5000 0.5000 0.0000  6 Pm 2.90-2.98
As 0.8349 0.8349 0.6681  6 Pm 2.92-2.98
Se 0.1675 0.1675 0.8337  6 Pm 3.05-3.07
Se 0.8325 0.8325 0.1663  6 Pm 3.05-3.07

This record from the Alexandria database describes a relaxed structure of Mn2BRuPt. The functional is PBE-GGA.

Properties
Crystal system   tetragonal
Size of the total moment   8.16 μB/cell
Uncorrected energy   -6.142 eV/atom

Cell: 4.8230 4.8230 4.7242 Å, 90.00 90.00 90.00°
Closest atoms and distances in Å follow each position.
Sites, in units of the cell vectors:
Mn 0.0000 0.5000 0.0000  2 Pt 2.41
Mn 0.5000 0.0000 0.0000  2 Pt 2.41
B 0.0000 0.0000 0.5000  8 Mn 3.38, 4 Ru 3.41
Ru 0.5000 0.5000 0.5000  2 Pt 2.36
Pt 0.5000 0.5000 0.0000  2 Ru 2.36, 4 Mn 2.41

This record from the Alexandria database describes a relaxed structure of ErHfZnAu. The functional is PBE-GGA.

Properties
Crystal system   cubic
Size of the total moment   0.77 μB/cell
Uncorrected energy   -5.136 eV/atom

Cell: 4.8906 4.8906 4.8906 Å, 60.00 60.00 60.00°
Closest atoms and distances in Å follow each position.
Sites, in units of the cell vectors:
Er 0.0000 0.0000 0.0000  4 Zn 2.99, 4 Au 2.99
Hf 0.5000 0.5000 0.5000  4 Zn 2.99, 4 Au 2.99
Zn 0.7500 0.7500 0.7500  4 Hf 2.99, 4 Er 2.99
Au 0.2500 0.2500 0.2500  4 Hf 2.99, 4 Er 2.99

This record from the Alexandria database describes a relaxed structure of Cs2TiF. The functional is PBE-GGA.

Properties
Crystal system   cubic
Size of the total moment   3.00 μB/cell
Offset from the most stable computed form   346 meV/atom

Cell: 6.3954 6.3954 6.3954 Å, 60.00 60.00 60.00°
Closest atoms and distances in Å follow each position.
Sites, in units of the cell vectors:
Cs 0.2500 0.2500 0.2500  4 F 3.92, 4 Ti 3.92
Cs 0.7500 0.7500 0.7500  4 F 3.92, 4 Ti 3.92
Ti 0.0000 0.0000 0.0000  8 Cs 3.92
F 0.5000 0.5000 0.5000  8 Cs 3.92

Question: Which of these has the highest size of the total moment?
Answer: Mn2BRuPt